# CaTl2Zn

A relaxed structure of CaTl2Zn (PBE, Alexandria via LeMat-Bulk).

POSCAR file:
```
CaTl2Zn
1.0
-2.6126 -4.3471 -3.2254
3.0791 -5.1606 0.1165
-2.5977 3.9233 3.7398
Tl Ca Zn
2 1 1
direct
0.9728 0.9728 0.0000
0.5272 0.5272 0.0000
0.2500 0.7500 0.5000
0.7500 0.2500 0.5000
```

Output
**Space-group type**: Immm (71)
**N(E_F)**: 2.0 states/eV per cell
**E_form**: -0.137 eV/atom

***

# Sm6TeRh2Se3

A relaxed structure of Sm6TeRh2Se3 (PBE, Alexandria via LeMat-Bulk).

POSCAR file:
```
Sm6TeRh2Se3
1.0
-0.9012 0.5162 -3.9839
-1.8097 -8.5021 -0.6922
-7.5521 3.8017 4.3283
Sm Te Rh Se
6 1 2 3
direct
0.3236 0.8829 0.6471
0.6728 0.5777 0.3455
0.6764 0.1171 0.3529
0.0121 0.2717 0.0242
0.9879 0.7283 0.9758
0.3272 0.4223 0.6545
0.5000 0.0000 0.0000
0.8294 0.6576 0.6588
0.1706 0.3424 0.3412
0.5000 0.5000 0.0000
0.8414 0.1578 0.6828
0.1586 0.8422 0.3172
```

Output
**Space-group type**: C2/m (12)
**N(E_F)**: 4.9 states/eV per cell
**ΔE_f (raw)**: -1.36 eV per atom

***

# TaCrB3

A relaxed structure of TaCrB3 (PBE, Alexandria via LeMat-Bulk).

POSCAR file:
```
TaCrB3
1.0
4.2100 0.0000 0.0000
0.0000 4.2100 0.0000
0.0000 0.0000 4.2100
Cr B Ta
1 3 1
direct
0.5000 0.5000 0.5000
0.0000 0.5000 0.0000
0.0000 0.0000 0.5000
0.5000 0.0000 0.0000
0.0000 0.0000 0.0000
```

Output
**Space-group type**: Pm-3m (221)
**N(E_F)**: 2.0 states/eV per cell
**E_form**: 1.453 eV/atom

***

# ZnReOs

A relaxed structure of ZnReOs (PBE, Alexandria via LeMat-Bulk).

POSCAR file:
```
ZnReOs
1.0
2.7674 0.0000 0.0000
-1.3837 2.3967 0.0000
0.0000 0.0000 6.6622
Os Re Zn
1 1 1
direct
0.0000 0.0000 0.0103
0.6667 0.3333 0.3214
0.3333 0.6667 0.6683
```

Output
**Space-group type**: P3m1 (156)
**Relative energy among the computed polymorphs**: 63 meV per atom
**N(E_F)**: 2.2 states/eV per cell
**E_form**: 0.096 eV/atom

***

# CsPdBr3

A relaxed structure of CsPdBr3 (PBE, Alexandria via LeMat-Bulk).

POSCAR file:
```
CsPdBr3
1.0
7.5359 0.0000 0.0000
0.0000 16.5666 0.0000
0.0000 0.0000 6.8626
Cs Br Pd
4 12 4
direct
0.0000 0.0000 0.5000
0.5000 0.5000 0.0000
0.5000 0.0000 0.0000
0.0000 0.5000 0.5000
0.0004 0.8980 0.9763
0.4996 0.3980 0.4763
0.4996 0.1020 0.4763
0.9996 0.3980 0.0237
0.9996 0.1020 0.0237
0.5004 0.6020 0.5237
0.5004 0.8980 0.5237
0.0004 0.6020 0.9763
0.2490 0.2500 0.7493
0.2510 0.7500 0.2493
0.7510 0.7500 0.2507
0.7490 0.2500 0.7507
0.4995 0.2500 0.5082
0.0005 0.7500 0.0082
0.5005 0.7500 0.4918
0.9995 0.2500 0.9918
```

Output
**Space-group type**: Pnma (62)
**N(E_F)**: 0.0 states/eV per cell
**ΔE_f (raw)**: -0.81 eV per atom

***

# CdTcIBr2

A relaxed structure of CdTcIBr2 (PBE, Alexandria via LeMat-Bulk).

POSCAR file:
```
CdTcIBr2
1.0
-0.3515 5.2584 0.9430
-5.8737 -0.6569 1.4737
1.3739 -0.8243 5.1085
I Tc Br Cd
1 1 2 1
direct
0.0000 0.5000 0.0000
0.5000 0.5000 0.5000
0.0000 0.0000 0.5000
0.5000 0.0000 0.0000
0.0000 0.0000 0.0000
```

Output
**Space-group type**: P4/mmm (123)
**N(E_F)**: 6.6 states/eV per cell
**ΔE_f (raw)**: 0.54 eV per atom

***

# BaSiSb2

A relaxed structure of BaSiSb2 (PBE, Alexandria via LeMat-Bulk).

POSCAR file:
```
BaSiSb2
1.0
-4.7250 4.7656 4.4210
-2.8431 -6.4301 3.8927
-0.7025 -0.4502 7.0385
Sb Si Ba
4 2 2
direct
0.5329 0.1250 0.2500
0.2171 0.6250 0.2500
0.3750 0.4671 0.7500
0.8750 0.7829 0.7500
0.5000 0.5000 0.0000
0.2500 0.7500 0.5000
0.0000 0.0000 0.0000
0.7500 0.2500 0.5000
```

Output
**Space-group type**: I-42d (122)
**N(E_F)**: 0.2 states/eV per cell
**ΔE_f (raw)**: -0.39 eV per atom

***

# Li7Ga2Sn

A relaxed structure of Li7Ga2Sn (PBE, Alexandria via LeMat-Bulk).

POSCAR file:
```
Li7Ga2Sn
1.0
4.5478 0.0000 0.0000
0.0000 7.7022 -0.8195
0.0000 -4.1332 6.5507
Li Ga Sn
7 2 1
direct
0.0000 0.7986 0.2014
0.0000 0.2014 0.7986
0.5000 0.0714 0.2870
0.5000 0.9286 0.7130
0.5000 0.2870 0.0714
0.5000 0.7130 0.9286
0.5000 0.5000 0.5000
0.5000 0.7070 0.2930
0.5000 0.2930 0.7070
0.0000 0.0000 0.0000
```

Output
**Space-group type**: Cmmm (65)
**N(E_F)**: 3.9 states/eV per cell
**E_form**: 0.022 eV/atom

***

# Pm5ErSb4

A relaxed structure of Pm5ErSb4 (PBE, Alexandria via LeMat-Bulk).

POSCAR file:
```
Pm5ErSb4
1.0
4.3744 0.0000 0.0000
0.0000 8.5782 -0.5857
-2.1872 -1.8439 9.3244
Pm Er Sb
5 1 4
direct
0.8258 0.6515 0.6516
0.8351 0.1731 0.6701
0.1649 0.8269 0.3299
0.5000 0.5000 0.0000
0.1742 0.3485 0.3484
0.5000 0.0000 0.0000
0.3332 0.9130 0.6665
0.9946 0.7509 0.9891
0.6668 0.0870 0.3335
0.0054 0.2491 0.0109
```

Output
**Space-group type**: C2/m (12)
**N(E_F)**: 6.6 states/eV per cell
**ΔE_f (raw)**: -0.78 eV per atom

***

# CaSn2Pb2Au7

A relaxed structure of CaSn2Pb2Au7 (PBE, Alexandria via LeMat-Bulk).

POSCAR file:
```
CaSn2Pb2Au7
1.0
-0.1488 -3.3007 -2.6928
-1.7693 -2.4156 3.0335
-16.1621 1.9036 -4.8681
Ca Sn Pb Au
1 2 2 7
direct
0.0000 0.0000 0.0000
0.6227 0.6227 0.7604
0.3773 0.3773 0.2396
0.7872 0.7872 0.4242
0.2128 0.2128 0.5758
0.5000 0.5000 0.0000
0.2972 0.2972 0.4026
0.7028 0.7028 0.5974
0.9321 0.4332 0.1319
0.4332 0.9321 0.1319
0.5668 0.0679 0.8681
0.0679 0.5668 0.8681
```

Output
**Space-group type**: C2/m (12)
**N(E_F)**: 5.3 states/eV per cell
**E_form**: -0.207 eV/atom

***

# In2Ge2P

A relaxed structure of In2Ge2P (PBE, Alexandria via LeMat-Bulk).

POSCAR file:
```
In2Ge2P
1.0
3.9751 0.0000 0.0000
0.0000 3.9751 0.0000
1.9875 1.9875 7.6311
P Ge In
1 2 2
direct
0.0000 0.0000 0.0000
0.4190 0.4190 0.1620
0.5810 0.5810 0.8380
0.7500 0.2500 0.5000
0.2500 0.7500 0.5000
```

Output
**Space-group type**: I4/mmm (139)
**Relative energy among the computed polymorphs**: 266 meV per atom
**N(E_F)**: 2.0 states/eV per cell
**E_form**: 0.530 eV/atom

***

# WAu2

A relaxed structure of WAu2 (PBE, Alexandria via LeMat-Bulk).

POSCAR file:
```
WAu2
1.0
-6.3484 1.1830 1.1795
3.9298 -2.9071 -4.3815
-0.2497 -3.2981 1.9644
W Au
2 4
direct
0.9290 0.0710 0.7500
0.0710 0.9290 0.2500
0.5806 0.4194 0.7500
0.4194 0.5806 0.2500
0.2527 0.7473 0.7500
0.7473 0.2527 0.2500
```

Output
**Space-group type**: Cmcm (63)
**N(E_F)**: 2.3 states/eV per cell
**E_form**: 0.346 eV/atom

***

# Ac2MgSn4Ru3

A relaxed structure of Ac2MgSn4Ru3 (PBE, Alexandria via LeMat-Bulk).

POSCAR file:
```
Ac2MgSn4Ru3
1.0
-4.1459 -0.6103 -1.7486
0.6801 -4.4893 -0.0455
-4.4025 -0.7756 10.7089
Ac Mg Sn Ru
2 1 4 3
direct
0.5000 0.0000 0.2377
0.0000 0.5000 0.7623
0.5000 0.5000 0.5000
0.5000 0.5000 0.0000
0.0000 0.0000 0.0000
0.5000 0.0000 0.6397
0.0000 0.5000 0.3603
0.0000 0.0000 0.5000
0.5000 0.0000 0.8717
0.0000 0.5000 0.1283
```

Output
**Space-group type**: P-4m2 (115)
**N(E_F)**: 10.1 states/eV per cell
**E_form**: -0.325 eV/atom

***

# Dy5ScIn6

A relaxed structure of Dy5ScIn6 (PBE, Alexandria via LeMat-Bulk).

POSCAR file:
```
Dy5ScIn6
1.0
5.0801 -0.0050 -1.4244
-3.8096 7.3687 -3.8378
-0.1979 -1.0875 9.0729
Sc In Dy
1 6 5
direct
0.0000 0.0000 0.0000
0.2428 0.0801 0.4054
0.7572 0.5946 0.9199
0.7358 0.2359 0.2359
0.2642 0.7641 0.7641
0.2428 0.4054 0.0801
0.7572 0.9199 0.5946
0.5000 0.1712 0.8288
0.0000 0.3353 0.6647
0.5000 0.5000 0.5000
0.0000 0.6647 0.3353
0.5000 0.8288 0.1712
```

Output
**Space-group type**: Immm (71)
**N(E_F)**: 5.9 states/eV per cell
**E_form**: -0.453 eV/atom

***

# SnPb6Au

A relaxed structure of SnPb6Au (PBE, Alexandria via LeMat-Bulk).

POSCAR file:
```
SnPb6Au
1.0
6.7918 1.1524 0.0000
2.8353 6.3701 0.0000
1.4176 3.1851 6.0857
Sn Pb Au
1 6 1
direct
0.5000 0.5000 0.0000
0.7504 0.4671 0.5480
0.7504 0.0151 0.4520
0.2496 0.9849 0.5480
0.2496 0.5329 0.4520
0.7633 0.7655 0.0000
0.2367 0.2345 0.0000
0.0000 0.0000 0.0000
```

Output
**Space-group type**: C2/m (12)
**N(E_F)**: 5.5 states/eV per cell
**E_form**: 0.098 eV/atom

***

# Ta2SnC

A relaxed structure of Ta2SnC (PBE, Alexandria via LeMat-Bulk).

POSCAR file:
```
Ta2SnC
1.0
-0.0580 1.4403 -2.8658
-2.3592 -0.6498 -2.0742
-4.7424 5.6542 1.1423
C Sn Ta
1 1 2
direct
0.0000 0.0000 0.0000
0.5000 0.5000 0.5000
0.2795 0.2795 0.1615
0.7205 0.7205 0.8385
```

Output
**Space-group type**: R-3m (166)
**N(E_F)**: 2.3 states/eV per cell
**E_form**: -0.311 eV/atom

***

# Th2Si3Rh4Au

A relaxed structure of Th2Si3Rh4Au (PBE, Alexandria via LeMat-Bulk).

POSCAR file:
```
Th2Si3Rh4Au
1.0
4.0459 0.0000 0.0000
0.0000 4.0459 0.0000
0.0000 0.0000 11.1001
Th Si Rh Au
2 3 4 1
direct
0.5000 0.0000 0.2515
0.0000 0.5000 0.7485
0.0000 0.0000 0.5000
0.5000 0.0000 0.8838
0.0000 0.5000 0.1162
0.5000 0.5000 0.0000
0.0000 0.0000 0.0000
0.5000 0.0000 0.6711
0.0000 0.5000 0.3289
0.5000 0.5000 0.5000
```

Output
**Space-group type**: P-4m2 (115)
**N(E_F)**: 5.7 states/eV per cell
**ΔE_f (raw)**: -0.93 eV per atom

***

# PrSmPu2P4

A relaxed structure of PrSmPu2P4 (PBE, Alexandria via LeMat-Bulk).

POSCAR file:
```
PrSmPu2P4
1.0
-0.8652 -2.8591 -4.9354
0.4656 -5.0106 2.8211
-5.4759 3.9596 2.0378
Pr Sm Pu P
1 1 2 4
direct
0.9373 0.9373 0.0000
0.4372 0.4372 0.0000
0.1871 0.6871 0.5000
0.6871 0.1871 0.5000
0.9372 0.4373 0.0000
0.4373 0.9372 0.0000
0.1894 0.1894 0.5046
0.6848 0.6848 0.4954
```

Output
**Space-group type**: I4/mmm (139)
**N(E_F)**: 21.2 states/eV per cell
**E_form**: -1.316 eV/atom

***

# AlSiSe2

A relaxed structure of AlSiSe2 (PBE, Alexandria via LeMat-Bulk).

POSCAR file:
```
AlSiSe2
1.0
3.8639 0.0036 0.0048
1.9608 3.3295 0.0048
1.9270 1.1027 6.3602
Si Al Se
1 1 2
direct
0.7500 0.7500 0.7500
0.2500 0.2500 0.2500
0.9958 0.9958 0.0072
0.5042 0.5042 0.4928
```

Output
**Space-group type**: C2/m (12)
**Relative energy among the computed polymorphs**: 205 meV per atom
**N(E_F)**: 1.3 states/eV per cell
**ΔE_f (raw)**: -0.16 eV per atom

***

# SrSc2O4

A relaxed structure of SrSc2O4 (PBE, Alexandria via LeMat-Bulk).

POSCAR file:
```
SrSc2O4
1.0
5.6670 0.0004 0.0012
2.7221 4.9704 0.0012
0.0835 0.0495 20.4754
Sr Sc O
6 12 24
direct
0.4508 0.2202 0.6452
0.2202 0.4508 0.1452
0.1171 0.8829 0.7500
0.8829 0.1171 0.2500
0.5492 0.7798 0.3548
0.7798 0.5492 0.8548
0.4490 0.2124 0.8058
0.2124 0.4490 0.3058
0.4590 0.2140 0.9477
0.2140 0.4590 0.4477
0.1184 0.8747 0.9291
0.8747 0.1184 0.4291
0.1253 0.8816 0.5709
0.8816 0.1253 0.0709
0.7860 0.5410 0.5523
0.5410 0.7860 0.0523
0.7876 0.5510 0.6942
0.5510 0.7876 0.1942
0.2040 0.0998 0.0026
0.0998 0.2040 0.5026
0.3587 0.9773 0.8742
0.9773 0.3587 0.3742
0.3218 0.1113 0.2515
0.1113 0.3218 0.7515
0.2233 0.5250 0.8803
0.5250 0.2233 0.3803
0.7782 0.1160 0.8757
0.1160 0.7782 0.3757
0.5441 0.4559 0.7500
0.5000 0.5000 0.5000
0.5000 0.5000 0.0000
0.4559 0.5441 0.2500
0.8840 0.2218 0.6243
0.2218 0.8840 0.1243
0.4750 0.7767 0.6197
0.7767 0.4750 0.1197
0.6782 0.8887 0.7485
0.8887 0.6782 0.2485
0.0227 0.6413 0.6258
0.6413 0.0227 0.1258
0.7960 0.9002 0.9974
0.9002 0.7960 0.4974
```

Output
**Space-group type**: C2/c (15)
**Relative energy among the computed polymorphs**: 14 meV per atom
**N(E_F)**: 0.0 states/eV per cell
**ΔE_f (raw)**: -3.33 eV per atom

***

# ZnTe2P

A relaxed structure of ZnTe2P (PBE, Alexandria via LeMat-Bulk).

POSCAR file:
```
ZnTe2P
1.0
0.7130 1.4295 3.0490
-2.4034 1.5331 -1.9290
-6.6536 -5.3292 4.0543
Zn Te P
1 2 1
direct
0.0000 0.0000 0.4630
0.0000 0.0000 0.0710
0.5000 0.5000 0.6832
0.5000 0.5000 0.2828
```

Output
**Space-group type**: Cmm2 (35)
**Relative energy among the computed polymorphs**: 296 meV per atom
**N(E_F)**: 1.7 states/eV per cell
**ΔE_f (raw)**: 0.33 eV per atom

***

# SrMgOF2

A relaxed structure of SrMgOF2 (PBE, Alexandria via LeMat-Bulk).

POSCAR file:
```
SrMgOF2
1.0
-0.6550 -5.0452 -2.1517
5.0465 -1.4033 1.7540
-3.8274 1.8894 3.8255
Sr Mg O F
2 2 2 4
direct
0.7500 0.2500 0.5001
0.2500 0.7500 0.5001
0.0000 0.0000 0.0001
0.5000 0.5000 0.0001
0.7500 0.7500 0.5001
0.2500 0.2500 0.5001
0.3168 0.8168 0.0001
0.8168 0.6833 0.0001
0.6833 0.1833 0.0001
0.1833 0.3168 0.0001
```

Output
**Space-group type**: I4/mcm (140)
**Relative energy among the computed polymorphs**: 0 meV per atom
**N(E_F)**: 0.0 states/eV per cell
**ΔE_f (raw)**: -3.29 eV per atom

***

# Zr4NiOs2

A relaxed structure of Zr4NiOs2 (PBE, Alexandria via LeMat-Bulk).

POSCAR file:
```
Zr4NiOs2
1.0
4.3913 0.0000 1.3719
1.9813 3.9189 1.3719
-0.0580 -0.0357 7.8994
Zr Ni Os
4 1 2
direct
0.8725 0.8725 0.3825
0.1275 0.1275 0.6175
0.6223 0.6223 0.1331
0.3777 0.3777 0.8669
0.0000 0.0000 0.0000
0.7482 0.7482 0.7555
0.2518 0.2518 0.2445
```

Output
**Space-group type**: R-3m (166)
**N(E_F)**: 5.7 states/eV per cell
**E_form**: -0.375 eV/atom